Crystalline RbYSc2 at its relaxed geometry, computed with PBE.

Cell lengths 5.709, 5.709, 5.709 Å; angles 60.00, 60.00, 60.00 degrees
Fractional coordinates of all 4 atoms:
Rb: 0.000 0.000 0.000
Y: 0.500 0.500 0.500
Sc: 0.250 0.250 0.250
Sc: 0.750 0.750 0.750

SG: Fm-3m, No. 225
Energy of formation from the pure elements: 761 meV per atom
Polymorph energy (0 for the lowest one): 1.35 eV per formula unit

Crystalline Ac2PuO at its relaxed geometry, computed with PBE.

Cell lengths 10.353, 10.353, 10.353 Å; angles 20.96, 20.96, 20.96 degrees
Fractional coordinates of all 4 atoms:
Ac: 0.116 0.116 0.116
Ac: 0.884 0.884 0.884
Pu: 0.000 0.000 0.000
O: 0.500 0.500 0.500

SG: R-3m, No. 166
Energy relative to the elements, uncorrected: -0.84 eV/atom

Crystalline VIn2Ir at its relaxed geometry, computed with PBE.

Cell lengths 4.635, 4.635, 4.635 Å; angles 60.00, 60.00, 60.00 degrees
Fractional coordinates of all 4 atoms:
V: 0.000 0.000 0.000
In: 0.250 0.250 0.250
In: 0.750 0.750 0.750
Ir: 0.500 0.500 0.500

SG: Fm-3m, No. 225
Energy of formation from the pure elements: 40 meV per atom
Polymorph energy (0 for the lowest one): 0.00 eV per formula unit

Number 1: magnetic moment 1.356 μB per formula unit. Number 2: magnetic moment 6.414 μB per formula unit. Number 3: magnetic moment 2.690 μB per formula unit.